DFT (PBE) results for crystalline IrRuPt2 at its relaxed geometry.

```
IrRuPt2
1.0
5.514 0.000 0.000
0.000 7.806 0.000
0.000 0.000 2.772
Ir Ru Pt
2 2 4
Direct
0.000 0.000 0.000
0.500 0.500 0.000
0.000 0.500 0.000
0.500 0.000 0.000
0.250 0.250 0.500
0.250 0.750 0.500
0.750 0.250 0.500
0.750 0.750 0.500
```

Calculated values
Density of states at the Fermi level, states/eV/f.u.: 5.92
Crystal system: orthorhombic
DFT formation energy, eV per atom: 0.082
Space-group type: Cmmm (65)
Energy above the most stable polymorph in this dataset, eV per atom: 0.126



DFT (PBE) results for crystalline CaZr2W at its relaxed geometry.

```
CaZr2W
1.0
10.279 0.000 0.000
0.000 2.888 0.000
-0.296 0.000 6.135
Ca Zr W
2 4 2
Direct
0.000 0.000 0.000
0.500 0.500 0.000
0.002 0.500 0.523
0.259 0.500 0.294
0.502 0.000 0.523
0.759 0.000 0.294
0.250 0.000 0.721
0.750 0.500 0.721
```

Calculated values
Density of states at the Fermi level, states/eV/f.u.: 5.66
Crystal system: monoclinic
DFT formation energy, eV per atom: 0.555
Space-group type: Cm (8)
Energy above the most stable polymorph in this dataset, eV per atom: 0.341



DFT (PBE) results for crystalline RbUTl2Te4 at its relaxed geometry.

```
RbUTl2Te4
1.0
8.353 0.000 0.000
0.000 4.585 0.000
-2.680 0.000 8.180
Rb U Tl Te
1 1 2 4
Direct
0.000 0.000 0.000
0.000 0.500 0.500
0.500 0.000 0.500
0.500 0.500 0.000
0.216 0.000 0.702
0.225 0.500 0.300
0.775 0.500 0.700
0.784 0.000 0.298
```

Calculated values
Density of states at the Fermi level, states/eV/f.u.: 6.22
Crystal system: monoclinic
Space-group type: P2/m (10)
Raw formation energy, eV per atom: -0.557



DFT (PBE) results for crystalline Pr2CdRuO6 at its relaxed geometry.

```
Pr2CdRuO6
1.0
5.606 0.000 0.000
0.000 6.045 0.000
-5.573 0.000 8.124
Pr Cd Ru O
4 2 2 12
Direct
0.229 0.070 0.251
0.229 0.430 0.751
0.771 0.570 0.249
0.771 0.930 0.749
0.500 0.000 0.000
0.500 0.500 0.500
0.000 0.000 0.500
0.000 0.500 0.000
0.100 0.213 0.930
0.100 0.287 0.430
0.241 0.678 0.945
0.241 0.822 0.445
0.354 0.051 0.731
0.354 0.449 0.231
0.646 0.551 0.769
0.646 0.949 0.269
0.759 0.178 0.555
0.759 0.322 0.055
0.900 0.713 0.570
0.900 0.787 0.070
```

Calculated values
Density of states at the Fermi level, states/eV/f.u.: 5.29
Crystal system: monoclinic
Space-group type: P2_1/c (14)
Raw formation energy, eV per atom: -2.142



DFT (PBE) results for crystalline SrSc2GeN4 at its relaxed geometry.

```
SrSc2GeN4
1.0
1.623 -5.707 0.000
1.623 5.707 0.000
0.000 0.000 11.353
Sr Sc Ge N
2 4 2 8
Direct
0.098 0.902 0.750
0.902 0.098 0.250
0.370 0.630 0.534
0.370 0.630 0.966
0.630 0.370 0.034
0.630 0.370 0.466
0.171 0.829 0.250
0.829 0.171 0.750
0.000 0.000 0.000
0.000 0.000 0.500
0.258 0.742 0.114
0.258 0.742 0.386
0.422 0.578 0.750
0.578 0.422 0.250
0.742 0.258 0.614
0.742 0.258 0.886
```

Calculated values
Crystal system: orthorhombic
Space-group type: Cmcm (63)
Raw formation energy, eV per atom: -1.125



DFT (PBE) results for crystalline LaPm4NdS8 at its relaxed geometry.

```
LaPm4NdS8
1.0
4.163 2.403 6.813
-4.163 2.403 6.813
0.000 -4.807 6.813
La Pm Nd S
1 4 1 8
Direct
0.000 0.000 0.000
0.375 0.375 0.872
0.375 0.872 0.375
0.749 0.749 0.749
0.872 0.375 0.375
0.375 0.375 0.375
0.133 0.133 0.595
0.133 0.595 0.133
0.135 0.135 0.135
0.145 0.619 0.619
0.595 0.133 0.133
0.617 0.617 0.617
0.619 0.145 0.619
0.619 0.619 0.145
```

Calculated values
Density of states at the Fermi level, states/eV/f.u.: 8.97
Crystal system: trigonal
Space-group type: R3m (160)
Raw formation energy, eV per atom: -1.936